(1)
## PPt (GGA-PBEsol)

Data for an optimized crystal structure of PPt.

Unit cell a=2.846 b=3.485 c=6.277 alpha=73.89 beta=90.00 gamma=90.00
Element x y z (fractional)
P: 0.250 0.412 0.176
P: 0.750 0.588 0.824
Pt: 0.250 0.170 0.659
Pt: 0.750 0.830 0.341

- Spin magnetization: 0.00 μB/f.u.
- D(E_F): 0.426 states/eV per atom
- SG: Cmcm (63)
- Raw total energy: -6.522 eV per atom


(2)
## Ca3CuBr (GGA-PBEsol)

Data for an optimized crystal structure of Ca3CuBr.

Unit cell a=5.506 b=5.506 c=5.506 alpha=90.00 beta=90.00 gamma=90.00
Element x y z (fractional)
Ca: 0.000 0.500 0.000
Ca: 0.000 0.000 0.500
Ca: 0.500 0.000 0.000
Cu: 0.000 0.000 0.000
Br: 0.500 0.500 0.500

- Energy relative to the lowest polymorph listed for this composition: 0.000 eV per atom
- Spin magnetization: 0.00 μB/f.u.
- D(E_F): 0.531 states/eV per atom
- SG: Pm-3m (221)
- Raw formation energy: -0.296 eV per atom


(3)
## CdSe2S (GGA-PBEsol)

Data for an optimized crystal structure of CdSe2S.

Unit cell a=4.770 b=4.770 c=4.770 alpha=60.00 beta=60.00 gamma=60.00
Element x y z (fractional)
S: 0.000 0.000 0.000
Se: 0.250 0.250 0.250
Se: 0.750 0.750 0.750
Cd: 0.500 0.500 0.500

- Spin magnetization: 0.00 μB/f.u.
- D(E_F): 0.875 states/eV per atom
- SG: Fm-3m (225)
- Raw formation energy: 0.394 eV per atom


(4)
## CrAgW2 (GGA-PBEsol)

Data for an optimized crystal structure of CrAgW2.

Unit cell a=2.755 b=2.755 c=9.431 alpha=81.60 beta=81.60 gamma=60.00
Last column: magnetic moment on the atom in μB.
Element x y z (fractional)
Ag: 0.503 0.503 0.490  0.03
Cr: 0.253 0.253 0.242  1.90
W: 0.995 0.995 0.014  0.01
W: 0.748 0.748 0.755  0.00

- Energy relative to the lowest polymorph listed for this composition: 0.063 eV per atom
- Spin magnetization: 2.06 μB/f.u.
- D(E_F): 0.946 states/eV per atom
- SG: R3m (160)


(5)
## LaCd2Si (GGA-PBEsol)

Data for an optimized crystal structure of LaCd2Si.

Unit cell a=2.993 b=5.453 c=6.403 alpha=114.43 beta=102.21 gamma=92.98
Element x y z (fractional)
Cd: 0.000 0.000 0.500
Cd: 0.500 0.500 0.500
La: 0.500 0.000 0.000
Si: 0.000 0.500 0.000

- Spin magnetization: 0.00 μB/f.u.
- D(E_F): 0.590 states/eV per atom
- SG: C2/m (12)
- Raw formation energy: -0.063 eV per atom


(6)
## ReTe2Rh (GGA-PBEsol)

Data for an optimized crystal structure of ReTe2Rh.

Unit cell a=3.199 b=3.843 c=6.713 alpha=90.00 beta=90.00 gamma=90.00
Element x y z (fractional)
Re: 0.000 0.000 0.517
Rh: 0.500 0.500 0.737
Te: 0.000 0.000 0.901
Te: 0.500 0.500 0.345

- Energy relative to the lowest polymorph listed for this composition: 0.000 eV per atom
- Spin magnetization: 0.00 μB/f.u.
- D(E_F): 0.858 states/eV per atom
- SG: Pmm2 (25)
- Raw formation energy: 0.245 eV per atom